! CeFe5 | Alexandria via LeMat-Bulk | meta-GGA SCAN | PBEsol geometry; values from VASP
! ΔH_f (0 K) (meV/atom): 46
! Space group: P6/mmm (191)
! Raw total energy (eV for the cell shown): -134.934
&SYSTEM
  ibrav = 0, nat = 6, ntyp = 2
/
ATOMIC_SPECIES
Ce 140.12 Ce.upf
Fe 55.84 Fe.upf
ATOMIC_POSITIONS angstrom
Ce 0.000 0.000 0.000
Fe -1.219 2.111 1.966
Fe 0.000 2.814 0.000
Fe 2.437 0.000 1.966
Fe 1.219 2.111 1.966
Fe 2.437 1.407 0.000
CELL_PARAMETERS angstrom
4.874 0.000 0.000
-2.437 4.221 0.000
0.000 0.000 3.932

! CeFe2Ge2 | Alexandria via LeMat-Bulk | meta-GGA SCAN | PBEsol geometry; values from VASP
! ΔH_f (0 K) (meV/atom): -398
! Space group: I4/mmm (139)
! Raw total energy (eV for the cell shown): -241.980
&SYSTEM
  ibrav = 0, nat = 10, ntyp = 3
/
ATOMIC_SPECIES
Ce 140.12 Ce.upf
Fe 55.84 Fe.upf
Ge 72.64 Ge.upf
ATOMIC_POSITIONS angstrom
Ce 0.000 0.000 0.000
Ce 2.015 2.015 4.833
Fe 0.000 2.015 2.417
Fe 0.000 2.015 7.250
Fe 2.015 0.000 2.417
Fe 2.015 0.000 7.250
Ge 0.000 0.000 3.538
Ge 0.000 0.000 6.128
Ge 2.015 2.015 1.295
Ge 2.015 2.015 8.371
CELL_PARAMETERS angstrom
4.030 0.000 0.000
0.000 4.030 0.000
0.000 0.000 9.666

! CeFeNi8Ge4 | Alexandria via LeMat-Bulk | meta-GGA SCAN | PBEsol geometry; values from VASP
! ΔH_f (0 K) (meV/atom): -394
! Space group: Fmm2 (42)
! Raw total energy (eV for the cell shown): -547.889
&SYSTEM
  ibrav = 0, nat = 28, ntyp = 4
/
ATOMIC_SPECIES
Ce 140.12 Ce.upf
Fe 55.84 Fe.upf
Ni 58.69 Ni.upf
Ge 72.64 Ge.upf
ATOMIC_POSITIONS angstrom
Ce 2.763 2.777 0.000
Ce 2.763 2.777 5.807
Fe 6.864 5.553 5.030
Fe 4.189 5.553 5.030
Ni 4.262 2.031 2.944
Ni 5.527 1.365 5.055
Ni 2.009 1.267 2.957
Ni 9.660 5.553 6.648
Ni 5.527 5.553 2.937
Ni 3.518 4.286 2.957
Ni 5.527 4.177 6.661
Ni 1.264 3.522 2.944
Ni 9.044 6.821 8.764
Ni 9.789 9.075 8.751
Ni 5.527 6.929 6.661
Ni 5.527 5.553 8.760
Ni 5.527 9.742 5.055
Ni 6.791 7.585 8.751
Ni 1.394 5.553 6.648
Ni 7.536 9.839 8.764
Ge 9.126 5.553 4.362
Ge 5.527 3.601 4.380
Ge 5.527 1.929 7.324
Ge 7.444 5.553 7.336
Ge 5.527 7.505 4.380
Ge 1.928 5.553 4.362
Ge 3.610 5.553 7.336
Ge 5.527 9.177 7.324
CELL_PARAMETERS angstrom
0.000 5.553 5.807
5.527 0.000 5.807
5.527 5.553 0.000

! Ce2Fe12P7 | Alexandria via LeMat-Bulk | meta-GGA SCAN | PBEsol geometry; values from VASP
! ΔH_f (0 K) (meV/atom): -629
! Space group: P-6 (174)
! Raw total energy (eV for the cell shown): -392.675
&SYSTEM
  ibrav = 0, nat = 21, ntyp = 3
/
ATOMIC_SPECIES
Ce 140.12 Ce.upf
Fe 55.84 Fe.upf
P 30.97 P.upf
ATOMIC_POSITIONS angstrom
Ce 0.000 0.000 0.000
Ce 0.000 5.117 1.802
Fe -3.078 5.850 1.802
Fe -0.816 2.972 0.000
Fe 0.904 2.085 1.802
Fe -1.449 6.896 0.000
Fe 2.975 1.799 0.000
Fe 4.306 0.469 1.802
Fe 2.685 3.711 1.802
Fe 2.266 5.483 0.000
Fe 2.174 7.416 1.802
Fe 5.817 1.677 0.000
Fe 4.502 4.200 0.000
Fe 6.303 3.495 1.802
P -2.218 4.798 0.000
P 2.171 0.253 1.802
P 1.386 3.355 0.000
P 0.833 7.198 0.000
P 4.431 2.558 1.802
P 3.566 5.669 1.802
P 7.558 1.753 1.802
CELL_PARAMETERS angstrom
8.863 0.000 0.000
-4.431 7.675 0.000
0.000 0.000 3.603

! CeFe2P2 | Alexandria via LeMat-Bulk | meta-GGA SCAN | PBEsol geometry; values from VASP
! ΔH_f (0 K) (meV/atom): -926
! Space group: I4/mmm (139)
! Raw total energy (eV for the cell shown): -212.499
&SYSTEM
  ibrav = 0, nat = 10, ntyp = 3
/
ATOMIC_SPECIES
Ce 140.12 Ce.upf
Fe 55.84 Fe.upf
P 30.97 P.upf
ATOMIC_POSITIONS angstrom
Ce 0.000 0.000 0.000
Ce 1.901 1.901 4.809
Fe 0.000 1.901 2.404
Fe 0.000 1.901 7.213
Fe 1.901 0.000 2.404
Fe 1.901 0.000 7.213
P 0.000 0.000 3.502
P 0.000 0.000 6.115
P 1.901 1.901 1.307
P 1.901 1.901 8.310
CELL_PARAMETERS angstrom
3.802 0.000 0.000
0.000 3.802 0.000
0.000 0.000 9.617

! CeFe4P12 | Alexandria via LeMat-Bulk | meta-GGA SCAN | PBEsol geometry; values from VASP
! ΔH_f (0 K) (meV/atom): -639
! Space group: Im-3 (204)
! Raw total energy (eV for the cell shown): -252.721
&SYSTEM
  ibrav = 0, nat = 17, ntyp = 3
/
ATOMIC_SPECIES
Ce 140.12 Ce.upf
Fe 55.84 Fe.upf
P 30.97 P.upf
ATOMIC_POSITIONS angstrom
Ce 0.000 0.000 0.000
Fe 1.924 1.924 -1.924
Fe 1.924 -1.924 1.924
Fe -1.924 1.924 1.924
Fe 1.924 1.924 1.924
P 2.696 0.000 1.176
P 5.001 0.000 1.176
P 3.849 2.673 -1.152
P 1.176 2.696 0.000
P 2.673 -1.152 3.849
P 3.849 2.673 1.152
P 0.000 1.176 2.696
P 1.176 5.001 0.000
P 2.673 1.152 3.849
P 0.000 1.176 5.001
P -1.152 3.849 2.673
P 1.152 3.849 2.673
CELL_PARAMETERS angstrom
-3.849 3.849 3.849
3.849 -3.849 3.849
3.849 3.849 -3.849